# SbW2CO

Crystalline SbW2CO at its relaxed geometry (PBE with a Hubbard U, Alexandria).

Geometry as extended XYZ:
```
5
Lattice="4.1650 0.0000 0.0000 0.0000 4.1650 0.0000 0.0000 0.0000 4.9716" Properties=species:S:1:pos:R:3 pbc="T T T"
Sb 0.0000 0.0000 0.0000
W 0.0000 2.0825 2.4858
W 2.0825 0.0000 2.4858
C 0.0000 0.0000 2.4858
O 2.0825 2.0825 0.0000
```

Calculated values
- Space group: No. 123
- D(E_F): 0.539 states/eV/atom
- Calculated total energy: -5.143 eV/atom